# GGA-PBE AlReAg, optimized geometry
# ΔE_f ... 128 meV per atom
# Density of states at the Fermi level ... 0.96 states/eV/f.u.
data_AlReAg
_chemical_formula_sum 'Al2 Re2 Ag2'
_cell_length_a 4.578
_cell_length_b 4.856
_cell_length_c 5.143
_cell_angle_alpha 71.60
_cell_angle_beta 74.00
_cell_angle_gamma 62.38
_symmetry_space_group_name_H-M 'P -1'
_symmetry_Int_Tables_number 2
loop_
_symmetry_equiv_pos_as_xyz
'x,y,z'
'-x,-y,-z'
loop_
_atom_site_label
_atom_site_fract_x
_atom_site_fract_y
_atom_site_fract_z
Al1 0.000 0.000 0.000
Al2 0.000 0.500 0.500
Re1 0.302 0.356 0.025
Ag1 0.336 0.828 0.499